(1)
VASP calculation (PBE) on a relaxed structure of CuSi2NiMo.

Cell: 4.2860 4.2860 4.2475 Å, 90.00 90.00 90.00°
Last column: nearest neighbours and their distance in Å.
Element x y z (fractional)
Cu 0.0000 0.0000 0.0000  2 Ni 2.12, 4 Si 2.14
Si 0.0000 0.5000 0.0000  2 Cu 2.14
Si 0.5000 0.0000 0.0000  2 Cu 2.14
Ni 0.0000 0.0000 0.5000  2 Cu 2.12
Mo 0.5000 0.5000 0.5000  8 Si 3.02, 4 Ni 3.03

Values from the calculation:
Raw total energy ... -26.62 eV per cell
D(E_F) ... 0.7227 states/eV per atom
Formation energy (no corrections) ... 986 meV/atom

=====

(2)
VASP calculation (PBE) on a relaxed structure of ZnCu2NiMo.

Cell: 4.3768 4.3768 4.3696 Å, 90.00 90.00 90.00°
Last column: nearest neighbours and their distance in Å.
Element x y z (fractional)
Zn 0.0000 0.0000 0.0000  8 Cu 3.09, 4 Mo 3.09
Cu 0.0000 0.5000 0.5000  2 Ni 2.19
Cu 0.5000 0.0000 0.5000  2 Ni 2.19
Ni 0.5000 0.5000 0.5000  2 Mo 2.18, 4 Cu 2.19
Mo 0.5000 0.5000 0.0000  2 Ni 2.18

Values from the calculation:
E_form ... 0.916 eV/atom
Raw total energy ... -21.50 eV per cell
D(E_F) ... 0.8878 states/eV per atom